[1]
LaDyNO | PBE-GGA | relaxed

The structure in POSCAR format:
```
LaDyNO
1.0
0.3380 4.0531 -0.0350
-3.2086 0.3012 3.8929
5.4985 -0.4191 4.5644
La N Dy O
2 2 2 2
direct
0.5000 0.9386 0.1636 La
0.5000 0.4386 0.8364 La
0.0000 0.4375 0.6533 N
0.0000 0.9374 0.3467 N
0.0000 0.9388 0.6606 Dy
0.0000 0.4388 0.3394 Dy
0.5000 0.9391 0.7992 O
0.5000 0.4391 0.2008 O
```

The calculation puts the total energy at -62.9 eV/cell. The value obtained for the relative energy among the computed polymorphs is 1 meV/atom.

---

[2]
TmCuTc | PBE-GGA | relaxed

The structure in POSCAR format:
```
TmCuTc
1.0
0.0080 1.7635 4.0733
-2.4569 3.5934 0.8675
-3.6004 -0.3415 2.5734
Tc Cu Tm
1 1 1
direct
0.7500 0.7500 0.7500 Tc
0.2500 0.2500 0.2500 Cu
0.0000 0.0000 0.0000 Tm
```

The calculation puts the total energy at -15.4 eV/cell. The value obtained for the formation energy is 100.52 kJ per mole of atoms.

---

[3]
CuHgBPt | PBE-GGA | relaxed

The structure in POSCAR format:
```
CuHgBPt
1.0
-1.3868 -3.7016 1.8352
-3.3267 0.0761 2.8142
-3.8550 -1.6850 -1.1370
Cu Hg Pt B
1 1 1 1
direct
0.7500 0.7500 0.7500 Cu
0.5000 0.5000 0.5000 Hg
0.2500 0.2500 0.2500 Pt
0.0000 0.0000 0.0000 B
```

The calculation puts the total energy at -13.6 eV/cell. The value obtained for the relative energy among the computed polymorphs is 0 meV/atom.